# PuSc5 GGA-PBE relaxed
data_PuSc5
_chemical_formula_sum 'Pu2 Sc10'
_cell_length_a 5.640
_cell_length_b 9.741
_cell_length_c 5.631
_cell_angle_alpha 90.00
_cell_angle_beta 109.93
_cell_angle_gamma 90.00
_space_group_name_H-M_alt 'C 1 2/m 1'
_space_group_IT_number 12
loop_
_space_group_symop_operation_xyz
'x,y,z'
'-x,-y,-z'
'-x,y,-z'
'x,-y,z'
'x+1/2,y+1/2,z'
'-x+1/2,-y+1/2,-z'
'-x+1/2,y+1/2,-z'
'x+1/2,-y+1/2,z'
loop_
_atom_site_label
_atom_site_type_symbol
_atom_site_fract_x
_atom_site_fract_y
_atom_site_fract_z
Pu1 Pu 0.000 0.000 0.000
Sc1 Sc 0.000 0.164 0.500
Sc2 Sc 0.000 0.333 0.000
Sc3 Sc 0.000 0.500 0.500
# Density: 5.35 g/cm³
# Raw total energy: -91.30 eV/cell
# M_tot: 12.6 μB/cell

---

# MoPbIN2 GGA-PBE relaxed
data_MoPbIN2
_chemical_formula_sum 'Mo1 Pb1 I1 N2'
_cell_length_a 4.179
_cell_length_b 4.179
_cell_length_c 5.580
_cell_angle_alpha 90.00
_cell_angle_beta 90.00
_cell_angle_gamma 90.00
_space_group_name_H-M_alt 'P 4/m m m'
_space_group_IT_number 123
_space_group_name_Hall '-P 4 2'
loop_
_atom_site_label
_atom_site_type_symbol
_atom_site_fract_x
_atom_site_fract_y
_atom_site_fract_z
Mo1 Mo 0.000 0.000 0.000
Pb1 Pb 0.500 0.500 0.500
I1 I 0.000 0.000 0.500
N1 N 0.000 0.500 0.000
# Density: 7.80 g/cm³
# Raw total energy: -28.91 eV/cell
# M_tot: 0.0 μB/cell

---

# Pu3SnRu3 GGA-PBE relaxed
data_Pu3SnRu3
_chemical_formula_sum 'Pu18 Sn6 Ru18'
_cell_length_a 5.7424
_cell_length_b 5.7424
_cell_length_c 29.9782
_cell_angle_alpha 90.00
_cell_angle_beta 90.00
_cell_angle_gamma 120.00
_space_group_name_H-M_alt 'R -3'
_space_group_IT_number 148
_space_group_name_Hall '-R 3'
loop_
_atom_site_label
_atom_site_type_symbol
_atom_site_fract_x
_atom_site_fract_y
_atom_site_fract_z
Pu1 Pu 0.0039 0.2434 0.0759
Sn1 Sn 0.0000 0.0000 0.3331
Ru1 Ru 0.0073 0.4786 0.8687
# Density: 13.43 g/cm³
# Raw total energy: -433.52 eV/cell
# M_tot: 18.3 μB/cell

---

# Ca2AlRe GGA-PBE relaxed
data_Ca2AlRe
_chemical_formula_sum 'Ca8 Al4 Re4'
_cell_length_a 8.107
_cell_length_b 8.107
_cell_length_c 5.554
_cell_angle_alpha 90.00
_cell_angle_beta 90.00
_cell_angle_gamma 90.00
_space_group_name_H-M_alt 'I -4 2 d'
_space_group_IT_number 122
_space_group_name_Hall 'I -4 2bw'
loop_
_atom_site_label
_atom_site_type_symbol
_atom_site_fract_x
_atom_site_fract_y
_atom_site_fract_z
Ca1 Ca 0.240 0.250 0.125
Al1 Al 0.000 0.000 0.500
Re1 Re 0.000 0.000 0.000
# Density: 5.34 g/cm³
# Raw total energy: -67.71 eV/cell
# M_tot: 0.0 μB/cell

---

# Th4TlTe5 GGA-PBE relaxed
data_Th4TlTe5
_chemical_formula_sum 'Th8 Tl2 Te10'
_cell_length_a 19.472
_cell_length_b 4.497
_cell_length_c 8.965
_cell_angle_alpha 90.00
_cell_angle_beta 103.44
_cell_angle_gamma 90.00
_space_group_name_H-M_alt 'C 1 2/m 1'
_space_group_IT_number 12
loop_
_space_group_symop_operation_xyz
'x,y,z'
'-x,-y,-z'
'-x,y,-z'
'x,-y,z'
'x+1/2,y+1/2,z'
'-x+1/2,-y+1/2,-z'
'-x+1/2,y+1/2,-z'
'x+1/2,-y+1/2,z'
loop_
_atom_site_label
_atom_site_type_symbol
_atom_site_fract_x
_atom_site_fract_y
_atom_site_fract_z
Th1 Th 0.002 0.000 0.250
Th2 Th 0.166 0.500 0.094
Tl1 Tl 0.000 0.500 0.000
Te1 Te 0.000 0.500 0.500
Te2 Te 0.167 0.000 0.836
Te3 Te 0.168 0.000 0.336
# Density: 7.70 g/cm³
# Raw total energy: -113.70 eV/cell
# M_tot: 0.0 μB/cell

---

# NbSiB GGA-PBE relaxed
data_NbSiB
_chemical_formula_sum 'Nb8 Si8 B8'
_cell_length_a 8.734
_cell_length_b 8.734
_cell_length_c 4.628
_cell_angle_alpha 90.00
_cell_angle_beta 90.00
_cell_angle_gamma 90.00
_space_group_name_H-M_alt 'I 4/m m m'
_space_group_IT_number 139
_space_group_name_Hall '-I 4 2'
loop_
_atom_site_label
_atom_site_type_symbol
_atom_site_fract_x
_atom_site_fract_y
_atom_site_fract_z
Nb1 Nb 0.000 0.323 0.000
Si1 Si 0.192 0.192 0.500
B1 B 0.000 0.299 0.500
# Density: 4.96 g/cm³
# Raw total energy: -179.09 eV/cell
# M_tot: 0.0 μB/cell

---

Repeat the third record exactly.
# Pu3SnRu3 GGA-PBE relaxed
data_Pu3SnRu3
_chemical_formula_sum 'Pu18 Sn6 Ru18'
_cell_length_a 5.7424
_cell_length_b 5.7424
_cell_length_c 29.9782
_cell_angle_alpha 90.00
_cell_angle_beta 90.00
_cell_angle_gamma 120.00
_space_group_name_H-M_alt 'R -3'
_space_group_IT_number 148
_space_group_name_Hall '-R 3'
loop_
_atom_site_label
_atom_site_type_symbol
_atom_site_fract_x
_atom_site_fract_y
_atom_site_fract_z
Pu1 Pu 0.0039 0.2434 0.0759
Sn1 Sn 0.0000 0.0000 0.3331
Ru1 Ru 0.0073 0.4786 0.8687
# Density: 13.43 g/cm³
# Raw total energy: -433.52 eV/cell
# M_tot: 18.3 μB/cell